# SrBiH

SrBiH after structural relaxation (PBE, Alexandria via LeMat-Bulk).

Calculated values
Space group   P-1 (2)
Energy above the most stable polymorph in this dataset   0.085 eV/atom
Magnetization   0.0 μB/f.u.

a = 3.449 Å, b = 3.465 Å, c = 12.705 Å
α = 96.42°, β = 96.60°, γ = 90.28°
Atoms (fractional coordinates):
Sr1 0.193 0.194 0.364
Sr2 0.807 0.806 0.636
Bi1 0.401 0.398 0.851
Bi2 0.599 0.602 0.149
H1 0.278 0.278 0.566
H2 0.722 0.722 0.434


# Sr4Bi2H3

Sr4Bi2H3 after structural relaxation (PBE, Alexandria via LeMat-Bulk).

Calculated values
Space group   Cmce (64)
Magnetization   0.0 μB/f.u.

a = 8.370 Å, b = 8.370 Å, c = 8.911 Å
α = 90.00°, β = 90.00°, γ = 127.98°
Atoms (fractional coordinates):
Sr1 0.202 0.298 0.750
Sr2 0.203 0.797 0.885
Sr3 0.297 0.703 0.385
Sr4 0.298 0.202 0.250
Sr5 0.702 0.798 0.750
Sr6 0.703 0.297 0.615
Sr7 0.797 0.203 0.115
Sr8 0.798 0.702 0.250
Bi1 0.105 0.895 0.559
Bi2 0.395 0.605 0.059
Bi3 0.605 0.395 0.941
Bi4 0.895 0.105 0.441
H1 0.000 0.000 0.000
H2 0.039 0.461 0.750
H3 0.461 0.039 0.250
H4 0.500 0.500 0.500
H5 0.539 0.961 0.750
H6 0.961 0.539 0.250


# Sr3Bi2H

Sr3Bi2H after structural relaxation (PBE, Alexandria via LeMat-Bulk).

Calculated values
Space group   Pnma (62)
Energy above the most stable polymorph in this dataset   0.000 eV/atom
Magnetization   0.0 μB/f.u.

a = 9.819 Å, b = 4.308 Å, c = 19.056 Å
α = 90.00°, β = 90.00°, γ = 90.00°
Atoms (fractional coordinates):
Sr1 0.024 0.250 0.106
Sr2 0.119 0.250 0.580
Sr3 0.186 0.750 0.274
Sr4 0.314 0.250 0.774
Sr5 0.381 0.750 0.080
Sr6 0.476 0.750 0.606
Sr7 0.524 0.250 0.394
Sr8 0.619 0.250 0.920
Sr9 0.686 0.750 0.226
Sr10 0.814 0.250 0.726
Sr11 0.881 0.750 0.420
Sr12 0.976 0.750 0.894
Bi1 0.078 0.750 0.718
Bi2 0.247 0.250 0.955
Bi3 0.253 0.750 0.455
Bi4 0.422 0.250 0.218
Bi5 0.578 0.750 0.782
Bi6 0.747 0.250 0.545
Bi7 0.753 0.750 0.045
Bi8 0.922 0.250 0.282
H1 0.142 0.750 0.136
H2 0.358 0.250 0.636
H3 0.642 0.750 0.364
H4 0.858 0.250 0.864


# Sr2BiH2

Sr2BiH2 after structural relaxation (PBE, Alexandria via LeMat-Bulk).

Calculated values
Space group   I4/mmm (139)
Energy above the most stable polymorph in this dataset   0.000 eV/atom
Magnetization   0.0 μB/f.u.

a = 7.686 Å, b = 7.686 Å, c = 7.686 Å
α = 149.30°, β = 149.30°, γ = 43.97°
Atoms (fractional coordinates):
Sr1 0.153 0.153 0.000
Sr2 0.847 0.847 0.000
Bi1 0.500 0.500 0.000
H1 0.250 0.750 0.500
H2 0.750 0.250 0.500


# SrBiH

SrBiH after structural relaxation (PBE, Alexandria via LeMat-Bulk).

Calculated values
Space group   I4mm (107)
Energy above the most stable polymorph in this dataset   0.080 eV/atom
Magnetization   0.0 μB/f.u.

a = 6.769 Å, b = 6.769 Å, c = 6.769 Å
α = 150.62°, β = 150.62°, γ = 42.04°
Atoms (fractional coordinates):
Sr1 0.000 0.000 0.000
Bi1 0.280 0.280 0.000
H1 0.542 0.542 0.000


# Sr6Bi3H

Sr6Bi3H after structural relaxation (PBE, Alexandria via LeMat-Bulk).

Calculated values
Space group   Cmc2_1 (36)
Magnetization   1.8 μB/f.u.

a = 10.356 Å, b = 10.356 Å, c = 7.776 Å
α = 90.00°, β = 90.00°, γ = 102.09°
Atoms (fractional coordinates):
Sr1 0.047 0.953 0.500
Sr2 0.108 0.579 0.522
Sr3 0.223 0.777 0.043
Sr4 0.313 0.362 0.043
Sr5 0.362 0.313 0.543
Sr6 0.421 0.892 0.522
Sr7 0.579 0.108 0.022
Sr8 0.638 0.687 0.043
Sr9 0.687 0.638 0.543
Sr10 0.777 0.223 0.543
Sr11 0.892 0.421 0.022
Sr12 0.953 0.047 0.000
Bi1 0.067 0.280 0.325
Bi2 0.280 0.067 0.825
Bi3 0.388 0.612 0.756
Bi4 0.612 0.388 0.256
Bi5 0.720 0.933 0.325
Bi6 0.933 0.720 0.825
H1 0.195 0.805 0.384
H2 0.805 0.195 0.884


# Sr12Bi3H5

Sr12Bi3H5 after structural relaxation (PBE, Alexandria via LeMat-Bulk).

Calculated values
Space group   Ia-3d (230)
Magnetization   0.0 μB/f.u.

a = 15.207 Å, b = 15.207 Å, c = 15.207 Å
α = 109.47°, β = 109.47°, γ = 109.47°
Atoms (fractional coordinates):
Sr1 0.016 0.209 0.116
Sr2 0.016 0.306 0.900
Sr3 0.094 0.709 0.694
Sr4 0.094 0.884 0.400
Sr5 0.100 0.616 0.406
Sr6 0.100 0.984 0.694
Sr7 0.116 0.016 0.209
Sr8 0.116 0.600 0.906
Sr9 0.194 0.209 0.594
Sr10 0.194 0.484 0.600
Sr11 0.209 0.116 0.016
Sr12 0.209 0.594 0.194
Sr13 0.291 0.306 0.906
Sr14 0.291 0.484 0.384
Sr15 0.306 0.900 0.016
Sr16 0.306 0.906 0.291
Sr17 0.384 0.291 0.484
Sr18 0.384 0.594 0.900
Sr19 0.400 0.094 0.884
Sr20 0.400 0.806 0.516
Sr21 0.406 0.100 0.616
Sr22 0.406 0.806 0.791
Sr23 0.484 0.384 0.291
Sr24 0.484 0.600 0.194
Sr25 0.516 0.400 0.806
Sr26 0.516 0.616 0.709
Sr27 0.594 0.194 0.209
Sr28 0.594 0.900 0.384
Sr29 0.600 0.194 0.484
Sr30 0.600 0.906 0.116
Sr31 0.616 0.406 0.100
Sr32 0.616 0.709 0.516
Sr33 0.694 0.094 0.709
Sr34 0.694 0.100 0.984
Sr35 0.709 0.516 0.616
Sr36 0.709 0.694 0.094
Sr37 0.791 0.406 0.806
Sr38 0.791 0.884 0.984
Sr39 0.806 0.516 0.400
Sr40 0.806 0.791 0.406
Sr41 0.884 0.400 0.094
Sr42 0.884 0.984 0.791
Sr43 0.900 0.016 0.306
Sr44 0.900 0.384 0.594
Sr45 0.906 0.116 0.600
Sr46 0.906 0.291 0.306
Sr47 0.984 0.694 0.100
Sr48 0.984 0.791 0.884
Bi1 0.125 0.250 0.375
Bi2 0.125 0.375 0.750
Bi3 0.250 0.375 0.125
Bi4 0.250 0.875 0.625
Bi5 0.375 0.125 0.250
Bi6 0.375 0.750 0.125
Bi7 0.625 0.250 0.875
Bi8 0.625 0.875 0.750
Bi9 0.750 0.125 0.375
Bi10 0.750 0.625 0.875
Bi11 0.875 0.625 0.250
Bi12 0.875 0.750 0.625
H1 0.000 0.000 0.000
H2 0.000 0.000 0.500
H3 0.000 0.500 0.000
H4 0.000 0.500 0.500
H5 0.125 0.750 0.875
H6 0.125 0.875 0.250
H7 0.250 0.125 0.875
H8 0.250 0.625 0.375
H9 0.375 0.250 0.625
H10 0.375 0.625 0.750
H11 0.500 0.000 0.000
H12 0.500 0.000 0.500
H13 0.500 0.500 0.000
H14 0.500 0.500 0.500
H15 0.625 0.375 0.250
H16 0.625 0.750 0.375
H17 0.750 0.375 0.625
H18 0.750 0.875 0.125
H19 0.875 0.125 0.750
H20 0.875 0.250 0.125


# SrBi3H

SrBi3H after structural relaxation (PBE, Alexandria via LeMat-Bulk).

Calculated values
Space group   Pm-3m (221)
Energy above the most stable polymorph in this dataset   1.203 eV/atom
Magnetization   0.8 μB/f.u.

a = 6.226 Å, b = 6.226 Å, c = 6.226 Å
α = 90.00°, β = 90.00°, γ = 90.00°
Atoms (fractional coordinates):
Sr1 0.000 0.000 0.000
Bi1 0.000 0.000 0.500
Bi2 0.000 0.500 0.000
Bi3 0.500 0.000 0.000
H1 0.500 0.500 0.500


Results for VASP energy: -0.1228, -0.1197, -0.1275, -0.1282, -0.1230, -0.1169, -0.1053, -0.0836 (in hartree per atom, following the order of the records).